(1)
Entry from the Alexandria database: a relaxed structure of Pm2Y3Er6 (PBE-GGA).

Cell lengths 6.104, 6.104, 11.648 Å; angles 95.05, 95.05, 120.09 degrees
Positions (direct):
Pm 0.166 0.834 0.000
Pm 0.834 0.166 0.000
Y 0.000 0.000 0.500
Y 0.335 0.665 0.500
Y 0.665 0.335 0.500
Er 0.083 0.417 0.749
Er 0.250 0.250 0.251
Er 0.417 0.083 0.749
Er 0.583 0.917 0.251
Er 0.750 0.750 0.749
Er 0.917 0.583 0.251

Calculated values
Symmetry: No. 12

(2)
Entry from the Alexandria database: a relaxed structure of Pm2Y3Er6 (PBE-GGA).

Cell lengths 16.797, 16.797, 16.797 Å; angles 163.82, 163.82, 22.96 degrees
Positions (direct):
Pm 0.046 0.046 0.000
Pm 0.954 0.954 0.000
Y 0.297 0.297 0.000
Y 0.500 0.500 0.000
Y 0.703 0.703 0.000
Er 0.121 0.621 0.500
Er 0.193 0.193 0.000
Er 0.379 0.879 0.500
Er 0.621 0.121 0.500
Er 0.807 0.807 0.000
Er 0.879 0.379 0.500

Calculated values
Symmetry: No. 139

Most stable pick: (1). Distance to second place: 72 meV/atom.

(1)
Entry from the Alexandria database: a relaxed structure of Pm7YEr12 (PBE-GGA).

Cell lengths 8.750, 8.750, 8.750 Å; angles 85.86, 85.86, 85.86 degrees
Positions (direct):
Pm 0.000 0.000 0.000
Pm 0.101 0.425 0.344
Pm 0.344 0.101 0.425
Pm 0.425 0.344 0.101
Pm 0.575 0.656 0.899
Pm 0.656 0.899 0.575
Pm 0.899 0.575 0.656
Y 0.500 0.500 0.500
Er 0.003 0.881 0.366
Er 0.119 0.634 0.997
Er 0.227 0.353 0.756
Er 0.244 0.773 0.647
Er 0.353 0.756 0.227
Er 0.366 0.003 0.881
Er 0.634 0.997 0.119
Er 0.647 0.244 0.773
Er 0.756 0.227 0.353
Er 0.773 0.647 0.244
Er 0.881 0.366 0.003
Er 0.997 0.119 0.634

Calculated values
Symmetry: No. 148

(2)
Entry from the Alexandria database: a relaxed structure of Pm7YEr12 (PBE-GGA).

Cell lengths 9.722, 9.722, 9.722 Å; angles 109.47, 109.47, 109.47 degrees
Positions (direct):
Pm 0.000 0.000 0.500
Pm 0.000 0.500 0.000
Pm 0.000 0.500 0.500
Pm 0.500 0.000 0.000
Pm 0.500 0.000 0.500
Pm 0.500 0.500 0.000
Pm 0.500 0.500 0.500
Y 0.000 0.000 0.000
Er 0.000 0.248 0.752
Er 0.000 0.752 0.248
Er 0.248 0.000 0.752
Er 0.248 0.248 0.496
Er 0.248 0.496 0.248
Er 0.248 0.752 0.000
Er 0.496 0.248 0.248
Er 0.504 0.752 0.752
Er 0.752 0.000 0.248
Er 0.752 0.248 0.000
Er 0.752 0.504 0.752
Er 0.752 0.752 0.504

Calculated values
Symmetry: No. 229

Most stable pick: (1). Distance to second place: 429 meV/atom.

(1)
Entry from the Alexandria database: a relaxed structure of Pm3Y2Er4 (PBE-GGA).

Cell lengths 10.125, 10.125, 6.054 Å; angles 95.99, 95.99, 70.11 degrees
Positions (direct):
Pm 0.107 0.893 0.750
Pm 0.231 0.436 0.914
Pm 0.436 0.231 0.414
Pm 0.564 0.769 0.586
Pm 0.769 0.564 0.086
Pm 0.893 0.107 0.250
Y 0.013 0.749 0.187
Y 0.251 0.987 0.313
Y 0.749 0.013 0.687
Y 0.987 0.251 0.813
Er 0.080 0.355 0.349
Er 0.318 0.584 0.481
Er 0.355 0.080 0.849
Er 0.416 0.682 0.019
Er 0.584 0.318 0.981
Er 0.645 0.920 0.151
Er 0.682 0.416 0.519
Er 0.920 0.645 0.651

Calculated values
Symmetry: No. 15

(2)
Entry from the Alexandria database: a relaxed structure of Pm3Y2Er4 (PBE-GGA).

Cell lengths 6.005, 6.005, 11.131 Å; angles 100.02, 100.02, 50.20 degrees
Positions (direct):
Pm 0.000 0.000 0.000
Pm 0.443 0.443 0.243
Pm 0.557 0.557 0.757
Y 0.164 0.164 0.579
Y 0.836 0.836 0.421
Er 0.145 0.145 0.279
Er 0.281 0.281 0.899
Er 0.719 0.719 0.101
Er 0.855 0.855 0.721

Calculated values
Symmetry: No. 12

Most stable pick: (1). Distance to second place: 106 meV/atom.

(1)
Entry from the Alexandria database: a relaxed structure of Pm3Y5Er2 (PBE-GGA).

Cell lengths 10.995, 10.995, 10.995 Å; angles 112.85, 77.35, 146.18 degrees
Positions (direct):
Pm 0.169 0.583 0.752
Pm 0.250 0.250 0.000
Pm 0.331 0.083 0.415
Pm 0.669 0.917 0.585
Pm 0.750 0.750 0.000
Pm 0.831 0.417 0.248
Y 0.172 0.242 0.414
Y 0.250 0.502 0.252
Y 0.250 0.750 0.500
Y 0.250 0.998 0.748
Y 0.328 0.742 0.070
Y 0.672 0.258 0.930
Y 0.750 0.002 0.252
Y 0.750 0.250 0.500
Y 0.750 0.498 0.748
Y 0.828 0.758 0.586
Er 0.166 0.909 0.075
Er 0.334 0.409 0.743
Er 0.666 0.591 0.257
Er 0.834 0.091 0.925

Calculated values
Symmetry: No. 72

(2)
Entry from the Alexandria database: a relaxed structure of Pm3Y5Er2 (PBE-GGA).

Cell lengths 9.679, 9.679, 9.381 Å; angles 108.58, 108.58, 112.34 degrees
Positions (direct):
Pm 0.019 0.270 0.046
Pm 0.230 0.770 0.750
Pm 0.270 0.019 0.546
Pm 0.730 0.981 0.454
Pm 0.770 0.230 0.250
Pm 0.981 0.730 0.954
Y 0.025 0.975 0.750
Y 0.141 0.378 0.767
Y 0.274 0.726 0.250
Y 0.378 0.141 0.267
Y 0.472 0.528 0.250
Y 0.528 0.472 0.750
Y 0.622 0.859 0.733
Y 0.726 0.274 0.750
Y 0.859 0.622 0.233
Y 0.975 0.025 0.250
Er 0.228 0.470 0.454
Er 0.470 0.228 0.954
Er 0.530 0.772 0.046
Er 0.772 0.530 0.546

Calculated values
Symmetry: No. 15

Most stable pick: (2). Distance to second place: 120 meV/atom.

(1)
Entry from the Alexandria database: a relaxed structure of PmY6Er3 (PBE-GGA).

Cell lengths 10.939, 10.939, 6.249 Å; angles 90.00, 90.00, 119.72 degrees
Positions (direct):
Pm 0.206 0.794 0.500
Pm 0.794 0.206 0.000
Y 0.044 0.461 0.704
Y 0.047 0.953 0.247
Y 0.282 0.718 0.996
Y 0.291 0.381 0.878
Y 0.381 0.291 0.378
Y 0.461 0.044 0.204
Y 0.539 0.956 0.704
Y 0.619 0.709 0.878
Y 0.709 0.619 0.378
Y 0.718 0.282 0.496
Y 0.953 0.047 0.747
Y 0.956 0.539 0.204
Er 0.064 0.283 0.296
Er 0.283 0.064 0.796
Er 0.389 0.611 0.418
Er 0.611 0.389 0.918
Er 0.717 0.936 0.296
Er 0.936 0.717 0.796

Calculated values
Symmetry: No. 36

(2)
Entry from the Alexandria database: a relaxed structure of PmY6Er3 (PBE-GGA).

Cell lengths 11.521, 11.521, 6.398 Å; angles 90.00, 90.00, 130.46 degrees
Positions (direct):
Pm 0.162 0.838 0.500
Pm 0.838 0.162 0.000
Y 0.015 0.985 0.302
Y 0.105 0.542 0.817
Y 0.261 0.379 0.060
Y 0.301 0.699 0.275
Y 0.379 0.261 0.560
Y 0.458 0.895 0.817
Y 0.542 0.105 0.317
Y 0.621 0.739 0.060
Y 0.699 0.301 0.775
Y 0.739 0.621 0.560
Y 0.895 0.458 0.317
Y 0.985 0.015 0.802
Er 0.043 0.296 0.474
Er 0.296 0.043 0.974
Er 0.418 0.582 0.585
Er 0.582 0.418 0.085
Er 0.704 0.957 0.474
Er 0.957 0.704 0.974

Calculated values
Symmetry: No. 36

Most stable pick: (2). Distance to second place: 28 meV/atom.

(1)
Entry from the Alexandria database: a relaxed structure of Pm8Y2Er3 (PBE-GGA).

Cell lengths 10.907, 10.907, 5.696 Å; angles 90.03, 90.03, 41.34 degrees
Positions (direct):
Pm 0.100 0.689 0.000
Pm 0.170 0.170 0.501
Pm 0.311 0.900 0.000
Pm 0.370 0.370 0.501
Pm 0.630 0.630 0.499
Pm 0.689 0.100 0.000
Pm 0.830 0.830 0.499
Pm 0.900 0.311 0.000
Y 0.260 0.260 0.001
Y 0.740 0.740 0.999
Er 0.215 0.785 0.500
Er 0.500 0.500 0.000
Er 0.785 0.215 0.500

Calculated values
Symmetry: No. 12

(2)
Entry from the Alexandria database: a relaxed structure of Pm8Y2Er3 (PBE-GGA).

Cell lengths 6.245, 8.063, 9.535 Å; angles 65.08, 83.79, 82.59 degrees
Positions (direct):
Pm 0.037 0.421 0.348
Pm 0.195 0.115 0.729
Pm 0.345 0.808 0.117
Pm 0.424 0.655 0.806
Pm 0.576 0.345 0.194
Pm 0.655 0.192 0.883
Pm 0.805 0.885 0.271
Pm 0.963 0.579 0.652
Y 0.116 0.269 0.040
Y 0.884 0.731 0.960
Er 0.269 0.961 0.424
Er 0.500 0.500 0.500
Er 0.731 0.039 0.576

Calculated values
Symmetry: No. 2

Most stable pick: (2). Distance to second place: 190 meV/atom.

(1)
Entry from the Alexandria database: a relaxed structure of Pm7Y2Er2 (PBE-GGA).

Cell lengths 8.125, 8.125, 6.077 Å; angles 105.62, 105.62, 88.96 degrees
Positions (direct):
Pm 0.000 0.000 0.000
Pm 0.047 0.590 0.825
Pm 0.234 0.234 0.600
Pm 0.410 0.953 0.175
Pm 0.590 0.047 0.825
Pm 0.766 0.766 0.400
Pm 0.953 0.410 0.175
Y 0.218 0.782 0.500
Y 0.782 0.218 0.500
Er 0.421 0.421 0.201
Er 0.579 0.579 0.799

Calculated values
Symmetry: No. 12

(2)
Entry from the Alexandria database: a relaxed structure of Pm7Y2Er2 (PBE-GGA).

Cell lengths 9.467, 9.467, 9.467 Å; angles 145.24, 63.29, 128.89 degrees
Positions (direct):
Pm 0.000 0.000 0.000
Pm 0.132 0.296 0.836
Pm 0.134 0.501 0.634
Pm 0.459 0.296 0.164
Pm 0.461 0.093 0.368
Pm 0.726 0.093 0.632
Pm 0.867 0.501 0.366
Y 0.595 0.797 0.799
Y 0.998 0.797 0.201
Er 0.297 0.797 0.500
Er 0.582 0.582 0.000

Calculated values
Symmetry: No. 44

Most stable pick: (2). Distance to second place: 35 meV/atom.

(1)
Entry from the Alexandria database: a relaxed structure of Pm3Y3Er2 (PBE-GGA).

Cell lengths 10.753, 10.753, 10.753 Å; angles 152.73, 152.71, 38.96 degrees
Positions (direct):
Pm 0.000 0.000 0.000
Pm 0.374 0.874 0.500
Pm 0.626 0.126 0.500
Y 0.127 0.627 0.500
Y 0.500 0.500 0.000
Y 0.873 0.373 0.500
Er 0.250 0.250 0.000
Er 0.750 0.750 0.000

Calculated values
Symmetry: No. 71

(2)
Entry from the Alexandria database: a relaxed structure of Pm3Y3Er2 (PBE-GGA).

Cell lengths 8.657, 8.657, 6.012 Å; angles 108.71, 108.71, 38.51 degrees
Positions (direct):
Pm 0.000 0.000 0.000
Pm 0.135 0.135 0.697
Pm 0.865 0.865 0.303
Y 0.367 0.367 0.918
Y 0.500 0.500 0.500
Y 0.633 0.633 0.082
Er 0.249 0.249 0.317
Er 0.751 0.751 0.683

Calculated values
Symmetry: No. 12

Most stable pick: (1). Distance to second place: 59 meV/atom.

(1)
Entry from the Alexandria database: a relaxed structure of PmY8Er2 (PBE-GGA).

Cell lengths 9.310, 9.310, 5.888 Å; angles 105.61, 105.61, 121.94 degrees
Positions (direct):
Pm 0.000 0.000 0.000
Y 0.099 0.339 0.680
Y 0.206 0.794 0.000
Y 0.339 0.099 0.680
Y 0.429 0.429 0.208
Y 0.571 0.571 0.792
Y 0.661 0.901 0.320
Y 0.794 0.206 0.000
Y 0.901 0.661 0.320
Er 0.308 0.692 0.500
Er 0.692 0.308 0.500

Calculated values
Symmetry: No. 12

(2)
Entry from the Alexandria database: a relaxed structure of PmY8Er2 (PBE-GGA).

Cell lengths 8.366, 8.366, 5.422 Å; angles 90.05, 90.05, 105.00 degrees
Positions (direct):
Pm 0.000 0.000 0.000
Y 0.031 0.301 0.501
Y 0.257 0.745 0.000
Y 0.301 0.031 0.501
Y 0.335 0.335 0.000
Y 0.665 0.665 0.000
Y 0.698 0.969 0.499
Y 0.745 0.257 0.000
Y 0.969 0.698 0.499
Er 0.380 0.620 0.500
Er 0.620 0.380 0.500

Calculated values
Symmetry: No. 8

Most stable pick: (1). Distance to second place: 16 meV/atom.